Record 1
First-principles (SCAN) data for a crystal of Mo2AsOs relaxed with PBEsol, as listed in Alexandria.

Cell: 3.094 4.569 8.598 Å, 90.00 90.00 90.00°
Space group Cmm2 (No. 35)
One atom of each set of equivalent atoms:
Mo 0.000 0.000 0.000 (multiplicity 2)
Mo 0.000 0.500 0.253 (multiplicity 2)
As 0.000 0.500 0.751 (multiplicity 2)
Os 0.000 0.000 0.497 (multiplicity 2)

Calculated values
The formation energy is 0.42 eV/atom.

***

Record 2
First-principles (SCAN) data for a crystal of La2SbO2 relaxed with PBEsol, as listed in Alexandria.

Cell: 4.004 4.004 13.867 Å, 90.00 90.00 90.00°
Space group I4/mmm (No. 139)
One atom of each set of equivalent atoms:
La 0.000 0.000 0.162 (multiplicity 4)
Sb 0.000 0.000 0.500 (multiplicity 2)
O 0.000 0.500 0.250 (multiplicity 4)

Calculated values
As for the formation energy without anion corrections: -14.9 eV/f.u.

***

Record 3
First-principles (SCAN) data for a crystal of AgB2Br relaxed with PBEsol, as listed in Alexandria.

Cell: 5.324 5.324 9.347 Å, 90.00 90.00 90.00°
Space group I-42d (No. 122)
One atom of each set of equivalent atoms:
Ag 0.000 0.000 0.000 (multiplicity 4)
B 0.222 0.750 0.125 (multiplicity 8)
Br 0.000 0.000 0.500 (multiplicity 4)

Calculated values
As for the formation energy without anion corrections: 5.9 eV/f.u.

***

Record 4
First-principles (SCAN) data for a crystal of MgMn3Si relaxed with PBEsol, as listed in Alexandria.

Cell: 4.520 4.520 4.520 Å, 90.00 90.00 90.00°
Space group Pm-3m (No. 221)
One atom of each set of equivalent atoms:
Mg 0.000 0.000 0.000 (multiplicity 1)
Mn 0.000 0.000 0.500 (multiplicity 3)
Si 0.500 0.500 0.500 (multiplicity 1)

Calculated values
The calculation puts the energy above the most stable polymorph in this dataset at 988.8 meV/atom. As for the formation energy without anion corrections: 5.9 eV/f.u.

***

Record 5
First-principles (SCAN) data for a crystal of BeOs2Br relaxed with PBEsol, as listed in Alexandria.

Cell: 2.8074 2.8074 24.1744 Å, 90.00 90.00 120.00°
Space group R-3m (No. 166, hexagonal axes)
One atom of each set of equivalent atoms:
Be 0.0000 0.0000 0.0000 (multiplicity 3)
Os 0.0000 0.0000 0.2578 (multiplicity 6)
Br 0.0000 0.0000 0.5000 (multiplicity 3)

Calculated values
The calculation puts the energy above the most stable polymorph in this dataset at 0.0 meV/atom. As for the formation energy without anion corrections: 3.9 eV/f.u.

***

Record 6
First-principles (SCAN) data for a crystal of BeCrP relaxed with PBEsol, as listed in Alexandria.

Cell: 5.187 5.187 5.187 Å, 90.00 90.00 90.00°
Space group F-43m (No. 216)
One atom of each set of equivalent atoms:
Be 0.000 0.000 0.000 (multiplicity 4)
Cr 0.000 0.000 0.500 (multiplicity 4)
P 0.250 0.250 0.250 (multiplicity 4)

Calculated values
The calculation puts the energy above the most stable polymorph in this dataset at 0.0 meV/atom. The formation energy is -0.01 eV/atom.

***

Record 7
First-principles (SCAN) data for a crystal of Cd2Bi2I relaxed with PBEsol, as listed in Alexandria.

Cell: 5.538 5.538 10.325 Å, 90.00 90.00 90.00°
Space group I4/mmm (No. 139)
One atom of each set of equivalent atoms:
Cd 0.000 0.500 0.250 (multiplicity 4)
Bi 0.000 0.000 0.144 (multiplicity 4)
I 0.000 0.000 0.500 (multiplicity 2)

Calculated values
As for the formation energy without anion corrections: 0.1 eV/f.u.

***

Record 8
First-principles (SCAN) data for a crystal of Li3Zn relaxed with PBEsol, as listed in Alexandria.

Cell: 5.665 13.895 4.847 Å, 90.00 90.00 90.00°
Space group Pmmn (No. 59, origin choice 2)
One atom of each set of equivalent atoms:
Li 0.000 0.250 0.031 (multiplicity 4)
Li 0.001 0.085 0.676 (multiplicity 8)
Li 0.250 0.250 0.506 (multiplicity 2)
Li 0.250 0.582 0.822 (multiplicity 4)
Zn 0.250 0.081 0.177 (multiplicity 4)
Zn 0.250 0.750 0.464 (multiplicity 2)

Calculated values
The formation energy is -0.11 eV/atom.

***

Record 9
First-principles (SCAN) data for a crystal of Sr2P relaxed with PBEsol, as listed in Alexandria.

Cell: 4.395 18.981 6.023 Å, 90.00 90.00 90.00°
Space group Cmcm (No. 63)
One atom of each set of equivalent atoms:
Sr 0.000 0.083 0.250 (multiplicity 4)
Sr 0.000 0.294 0.250 (multiplicity 4)
P 0.000 0.315 0.750 (multiplicity 4)

Calculated values
The formation energy is -0.95 eV/atom.

***

Record 10
First-principles (SCAN) data for a crystal of Mg5Pt3 relaxed with PBEsol, as listed in Alexandria.

Cell: 7.7699 7.7699 5.3405 Å, 90.00 90.00 120.00°
Space group P6_3/mcm (No. 193)
One atom of each set of equivalent atoms:
Mg 0.0000 0.2556 0.2500 (multiplicity 6)
Mg 0.3333 0.6667 0.0000 (multiplicity 4)
Pt 0.0000 0.3932 0.7500 (multiplicity 6)

Calculated values
The calculation puts the energy above the most stable polymorph in this dataset at 18.2 meV/atom. The formation energy is -0.85 eV/atom.

***

Record 11
First-principles (SCAN) data for a crystal of SrTcBr relaxed with PBEsol, as listed in Alexandria.

Cell: 3.302 3.302 11.857 Å, 90.00 90.00 90.00°
Space group I4mm (No. 107)
One atom of each set of equivalent atoms:
Sr 0.000 0.000 0.000 (multiplicity 2)
Tc 0.000 0.000 0.691 (multiplicity 2)
Br 0.000 0.000 0.292 (multiplicity 2)

Calculated values
As for the formation energy without anion corrections: 1.4 eV/f.u.

***

Record 12
First-principles (SCAN) data for a crystal of LiTa2P relaxed with PBEsol, as listed in Alexandria.

Cell: 3.554 4.622 7.957 Å, 90.00 90.00 90.00°
Space group Cmmm (No. 65)
One atom of each set of equivalent atoms:
Li 0.000 0.000 0.000 (multiplicity 2)
Ta 0.000 0.500 0.291 (multiplicity 4)
P 0.000 0.000 0.500 (multiplicity 2)

Calculated values
The formation energy is 0.07 eV/atom.

***

Copy entry 1 word for word.
First-principles (SCAN) data for a crystal of Mo2AsOs relaxed with PBEsol, as listed in Alexandria.

Cell: 3.094 4.569 8.598 Å, 90.00 90.00 90.00°
Space group Cmm2 (No. 35)
One atom of each set of equivalent atoms:
Mo 0.000 0.000 0.000 (multiplicity 2)
Mo 0.000 0.500 0.253 (multiplicity 2)
As 0.000 0.500 0.751 (multiplicity 2)
Os 0.000 0.000 0.497 (multiplicity 2)

Calculated values
The formation energy is 0.42 eV/atom.